1.
The following is a PBE calculation of an optimized crystal structure of SbTeO, from the Alexandria database.

Properties
For the formation energy from raw total energies, the calculation gives -1.67 eV per formula unit. As for the density of states at the Fermi level: 2.681 states/eV per cell.

Cell: 3.309 4.404 9.794 Å, 91.46 80.34 90.04°
Sites, in units of the cell vectors:
Sb 0.748 0.812 0.053
Sb 0.379 0.421 0.787
Te 0.987 0.840 0.574
Te 0.140 0.393 0.265
O 0.806 0.388 0.934
O 0.321 0.845 0.905

2.
The following is a PBE calculation of an optimized crystal structure of SbTeO2, from the Alexandria database.

Properties
For the formation energy from raw total energies, the calculation gives 0.52 eV per formula unit. As for the density of states at the Fermi level: 3.622 states/eV per cell.

Cell: 4.425 4.425 4.425 Å, 60.00 60.00 60.00°
Sites, in units of the cell vectors:
Sb 0.000 0.000 0.000
Te 0.500 0.500 0.500
O 0.250 0.250 0.250
O 0.750 0.750 0.750

3.
The following is a PBE calculation of an optimized crystal structure of SbTeO2, from the Alexandria database.

Properties
For the formation energy from raw total energies, the calculation gives -1.45 eV per formula unit. As for the density of states at the Fermi level: 12.664 states/eV per cell.

Cell: 6.443 6.443 6.449 Å, 60.03 60.03 90.00°
Sites, in units of the cell vectors:
Sb 0.500 0.500 0.000
Sb 0.250 0.750 0.500
Te 0.000 0.000 0.000
Te 0.750 0.250 0.500
O 0.377 0.125 0.250
O 0.373 0.625 0.250
O 0.375 0.623 0.750
O 0.875 0.627 0.750

4.
The following is a PBE calculation of an optimized crystal structure of SbTeO, from the Alexandria database.

Properties
For the formation energy from raw total energies, the calculation gives -1.23 eV per formula unit. As for the density of states at the Fermi level: 1.021 states/eV per cell.

Cell: 7.055 3.560 3.560 Å, 120.00 90.00 90.00°
Sites, in units of the cell vectors:
Sb 0.079 0.000 0.000
Te 0.723 0.667 0.333
O 0.197 0.333 0.667

5.
The following is a PBE calculation of an optimized crystal structure of SbTe2O, from the Alexandria database.

Properties
For the formation energy from raw total energies, the calculation gives 0.39 eV per formula unit. As for the density of states at the Fermi level: 5.201 states/eV per cell.

Cell: 5.700 5.700 8.084 Å, 69.36 69.36 90.00°
Sites, in units of the cell vectors:
Sb 0.000 0.000 0.000
Sb 0.750 0.250 0.500
Te 0.488 0.125 0.250
Te 0.262 0.625 0.250
Te 0.375 0.512 0.750
Te 0.875 0.738 0.750
O 0.500 0.500 0.000
O 0.250 0.750 0.500

6.
The following is a PBE calculation of an optimized crystal structure of Sb2Te2O9, from the Alexandria database.

Properties
For the formation energy from raw total energies, the calculation gives -15.45 eV per formula unit. As for the density of states at the Fermi level: 0.000 states/eV per cell.

Cell: 4.956 14.790 22.455 Å, 71.04 90.00 90.00°
Sites, in units of the cell vectors:
Sb 0.304 0.490 0.347
Sb 0.284 0.165 0.844
Sb 0.216 0.665 0.844
Sb 0.696 0.510 0.653
Sb 0.196 0.990 0.347
Sb 0.804 0.010 0.653
Sb 0.716 0.835 0.156
Sb 0.699 0.833 0.447
Sb 0.199 0.667 0.553
Sb 0.785 0.219 0.946
Sb 0.784 0.335 0.156
Sb 0.285 0.281 0.054
Sb 0.715 0.719 0.946
Sb 0.301 0.167 0.553
Sb 0.215 0.781 0.054
Sb 0.801 0.333 0.447
Te 0.162 0.554 0.061
Te 0.335 0.313 0.275
Te 0.835 0.187 0.725
Te 0.665 0.687 0.725
Te 0.838 0.446 0.939
Te 0.662 0.946 0.939
Te 0.155 0.888 0.557
Te 0.345 0.388 0.557
Te 0.845 0.112 0.443
Te 0.655 0.612 0.443
Te 0.338 0.054 0.061
Te 0.157 0.420 0.766
Te 0.343 0.920 0.766
Te 0.165 0.813 0.275
Te 0.843 0.580 0.234
Te 0.657 0.080 0.234
O 0.619 0.418 0.492
O 0.649 0.084 0.707
O 0.019 0.071 0.263
O 0.932 0.466 0.124
O 0.503 0.637 0.909
O 0.045 0.757 0.596
O 0.915 0.716 0.208
O 0.005 0.743 0.883
O 0.526 0.227 0.475
O 0.495 0.243 0.883
O 0.083 0.091 0.382
O 0.514 0.075 0.314
O 0.455 0.257 0.596
O 0.481 0.571 0.263
O 0.568 0.966 0.124
O 0.617 0.090 0.998
O 0.532 0.208 0.768
O 0.968 0.708 0.768
O 0.917 0.909 0.618
O 0.995 0.257 0.117
O 0.351 0.916 0.293
O 0.986 0.575 0.314
O 0.431 0.147 0.101
O 0.102 0.103 0.633
O 0.406 0.928 0.425
O 0.505 0.757 0.117
O 0.602 0.397 0.367
O 0.906 0.572 0.575
O 0.026 0.273 0.525
O 0.383 0.910 0.002
O 0.997 0.137 0.909
O 0.583 0.409 0.618
O 0.417 0.591 0.382
O 0.117 0.410 0.002
O 0.588 0.300 0.990
O 0.068 0.534 0.876
O 0.415 0.784 0.792
O 0.119 0.082 0.508
O 0.898 0.897 0.367
O 0.545 0.743 0.404
O 0.149 0.416 0.293
O 0.088 0.200 0.010
O 0.468 0.792 0.232
O 0.486 0.925 0.686
O 0.069 0.647 0.101
O 0.883 0.590 0.998
O 0.545 0.396 0.207
O 0.045 0.104 0.793
O 0.569 0.853 0.899
O 0.432 0.034 0.876
O 0.981 0.929 0.737
O 0.594 0.072 0.575
O 0.955 0.896 0.207
O 0.912 0.800 0.990
O 0.412 0.700 0.010
O 0.519 0.429 0.737
O 0.094 0.428 0.425
O 0.381 0.582 0.508
O 0.003 0.863 0.091
O 0.398 0.603 0.633
O 0.014 0.425 0.686
O 0.881 0.918 0.492
O 0.931 0.353 0.899
O 0.851 0.584 0.707
O 0.474 0.773 0.525
O 0.032 0.292 0.232
O 0.455 0.604 0.793
O 0.497 0.363 0.091
O 0.585 0.216 0.208
O 0.085 0.284 0.792
O 0.974 0.727 0.475
O 0.955 0.243 0.404

Here are the calculated total magnetic moment numbers, same order: 0.0 0.0 2.0 0.0 0.0 0.0 (μB per cell).
Here are the calculated excess energy over the best structure of this formula in the dataset numbers, same order: 0.000 0.743 0.250 0.146 0.138 0.000 (eV/atom).
Here are the calculated density numbers, same order: 6.3 7.6 4.9 5.7 5.7 5.5 (g/cm³).